Entry 1:
The following is a DFT calculation (GGA-PBE) of a geometry-optimized AlTeSe2 structure.

Cell: 3.488 3.488 8.309 Å, 90.00 90.00 90.00°
Fractional coordinates of all 4 atoms:
Al: 0.500 0.500 0.950
Se: 0.500 0.500 0.238
Se: 0.000 0.000 0.848
Te: 0.000 0.000 0.463

Summary:
SG ... P4mm
Total DFT energy (no corrections) ... -14.3 eV per cell


Entry 2:
The following is a DFT calculation (GGA-PBE) of a geometry-optimized CoAsW2 structure.

Cell: 4.013 2.873 5.163 Å, 73.83 90.00 90.00°
Last column: magnetic moment on the atom in μB.
Fractional coordinates of all 4 atoms:
W: 0.000 0.948 0.978  -0.01
W: 0.500 0.303 0.270  -0.01
As: 0.000 0.684 0.507  0.00
Co: 0.500 0.565 0.745  0.27

Summary:
SG ... Amm2
Total DFT energy (no corrections) ... -36.9 eV per cell


Entry 3:
The following is a DFT calculation (GGA-PBE) of a geometry-optimized AcNdPuGa structure.

Cell: 5.514 5.514 5.514 Å, 60.00 60.00 60.00°
Last column: magnetic moment on the atom in μB.
Fractional coordinates of all 4 atoms:
Nd: 0.500 0.500 0.500  0.19
Ga: 0.250 0.250 0.250  -0.03
Pu: 0.000 0.000 0.000  5.63
Ac: 0.750 0.750 0.750  0.29

Summary:
SG ... F-43m
Total DFT energy (no corrections) ... -25.7 eV per cell


Among the records above, which one has the lowest total DFT energy (no corrections)? CoAsW2